# Ba2PdF

Crystalline Ba2PdF at its relaxed geometry (PBE-GGA, Alexandria via LeMat-Bulk).

abc: 4.4141 4.4141 7.6795
angles: 73.30 73.30 60.00
With the nearest neighbours (Å) after each atom.
Atoms (fractional coordinates):
F1 0.5000 0.5000 0.5000  6 Ba 3.08
Ba1 0.2466 0.2466 0.2603  3 F 3.08, 3 Pd 3.17
Ba2 0.7534 0.7534 0.7397  3 F 3.08, 3 Pd 3.17
Pd1 0.0000 0.0000 0.0000  6 Ba 3.17

Results
Energy relative to the elements, uncorrected ... -6.24 eV/f.u.

---

# ScFeAu2

Crystalline ScFeAu2 at its relaxed geometry (PBE-GGA, Alexandria via LeMat-Bulk).

abc: 4.9853 4.9853 4.1127
angles: 65.63 65.63 48.74
With the nearest neighbours (Å) after each atom.
Atoms (fractional coordinates):
Fe1 0.7500 0.7500 0.7500  8 Au 2.89, 4 Sc 2.91
Au1 0.0000 0.0000 0.0000  4 Fe 2.89, 4 Sc 2.89, 4 Au 2.91
Au2 0.5000 0.5000 0.5000  4 Fe 2.89, 4 Sc 2.89, 4 Au 2.91
Sc1 0.2500 0.2500 0.2500  8 Au 2.89, 4 Fe 2.91

Results
Formation energy from the elements ... -304 meV/atom

---

no.,Fermi-level density of states (states/eV per atom)
1,0.6419
2,1.0189